The following is a PBEsol calculation of a relaxed structure of Tb3Al3NiPd2, from Alexandria via LeMat-Bulk.

Calculated values
Formation enthalpy at 0 K in eV per formula unit: -7.1
Calculated total energy in eV per atom: -5.8354
Theoretical density in g/cm3: 8.16
Size of the total moment in μB/cell: 0.000

a = 6.9640 Å, b = 6.9640 Å, c = 4.0196 Å
α = 90.00°, β = 90.00°, γ = 120.00°
Positions (direct):
Tb1 0.0000 0.4090 0.0000
Tb2 0.4090 0.0000 0.0000
Tb3 0.5910 0.5910 0.0000
Al1 0.0000 0.7713 0.5000
Al2 0.2287 0.2287 0.5000
Al3 0.7713 0.0000 0.5000
Ni1 0.0000 0.0000 0.0000
Pd1 0.3333 0.6667 0.5000
Pd2 0.6667 0.3333 0.5000

---

The following is a PBEsol calculation of a relaxed structure of PrAlNi4, from Alexandria via LeMat-Bulk.

Calculated values
Formation enthalpy at 0 K in eV per formula unit: -2.7
Calculated total energy in eV per atom: -6.1027
Theoretical density in g/cm3: 7.86
Size of the total moment in μB/cell: 0.000

a = 5.0467 Å, b = 8.4489 Å, c = 3.9888 Å
α = 90.00°, β = 90.00°, γ = 90.00°
Positions (direct):
Pr1 0.0000 0.0000 0.0000
Pr2 0.5000 0.5000 0.0000
Al1 0.0000 0.5000 0.5000
Al2 0.5000 0.0000 0.5000
Ni1 0.0000 0.3302 0.0000
Ni2 0.0000 0.6698 0.0000
Ni3 0.2500 0.2500 0.5000
Ni4 0.2500 0.7500 0.5000
Ni5 0.5000 0.1698 0.0000
Ni6 0.5000 0.8302 0.0000
Ni7 0.7500 0.2500 0.5000
Ni8 0.7500 0.7500 0.5000

---

The following is a PBEsol calculation of a relaxed structure of PrAl5Ni2, from Alexandria via LeMat-Bulk.

Calculated values
Formation enthalpy at 0 K in eV per formula unit: -4.7
Calculated total energy in eV per atom: -5.3360
Theoretical density in g/cm3: 4.94
Size of the total moment in μB/cell: 0.000

a = 3.9700 Å, b = 6.9737 Å, c = 9.5517 Å
α = 90.00°, β = 90.00°, γ = 90.00°
Positions (direct):
Pr1 0.0000 0.0000 0.0000
Pr2 0.5000 0.5000 0.5000
Al1 0.0000 0.1902 0.3414
Al2 0.0000 0.1902 0.6586
Al3 0.0000 0.5000 0.0000
Al4 0.0000 0.8098 0.3414
Al5 0.0000 0.8098 0.6586
Al6 0.5000 0.0000 0.5000
Al7 0.5000 0.3098 0.1586
Al8 0.5000 0.3098 0.8414
Al9 0.5000 0.6902 0.1586
Al10 0.5000 0.6902 0.8414
Ni1 0.0000 0.5000 0.2376
Ni2 0.0000 0.5000 0.7624
Ni3 0.5000 0.0000 0.2624
Ni4 0.5000 0.0000 0.7376

---

The following is a PBEsol calculation of a relaxed structure of Pr2AlNi2, from Alexandria via LeMat-Bulk.

Calculated values
Formation enthalpy at 0 K in eV per formula unit: -2.0
Calculated total energy in eV per atom: -5.7580
Theoretical density in g/cm3: 7.20
Size of the total moment in μB/cell: 0.001

a = 4.2134 Å, b = 5.4290 Å, c = 8.5946 Å
α = 90.00°, β = 90.00°, γ = 90.00°
Positions (direct):
Pr1 0.0000 0.0000 0.2011
Pr2 0.0000 0.0000 0.7989
Pr3 0.5000 0.5000 0.2989
Pr4 0.5000 0.5000 0.7011
Al1 0.0000 0.5000 0.0000
Al2 0.5000 0.0000 0.5000
Ni1 0.0000 0.2604 0.5000
Ni2 0.0000 0.7396 0.5000
Ni3 0.5000 0.2396 0.0000
Ni4 0.5000 0.7604 0.0000

---

The following is a PBEsol calculation of a relaxed structure of PrAlNi, from Alexandria via LeMat-Bulk.

Calculated values
Formation enthalpy at 0 K in eV per formula unit: -1.5
Calculated total energy in eV per atom: -5.6308
Theoretical density in g/cm3: 6.61
Size of the total moment in μB/cell: 0.000

a = 6.9773 Å, b = 6.9773 Å, c = 4.0514 Å
α = 90.00°, β = 90.00°, γ = 120.00°
Positions (direct):
Pr1 0.0000 0.4203 0.0000
Pr2 0.4203 0.0000 0.0000
Pr3 0.5797 0.5797 0.0000
Al1 0.0000 0.7720 0.5000
Al2 0.2280 0.2280 0.5000
Al3 0.7720 0.0000 0.5000
Ni1 0.0000 0.0000 0.0000
Ni2 0.3333 0.6667 0.5000
Ni3 0.6667 0.3333 0.5000

---

The following is a PBEsol calculation of a relaxed structure of PrAl4Ni, from Alexandria via LeMat-Bulk.

Calculated values
Formation enthalpy at 0 K in eV per formula unit: -3.3
Calculated total energy in eV per atom: -5.1670
Theoretical density in g/cm3: 4.81
Size of the total moment in μB/cell: 0.000

a = 8.1318 Å, b = 8.1318 Å, c = 6.5682 Å
α = 90.00°, β = 90.00°, γ = 150.76°
Positions (direct):
Pr1 0.1137 0.8863 0.7500
Pr2 0.8863 0.1137 0.2500
Al1 0.0794 0.9206 0.2500
Al2 0.3083 0.6917 0.5530
Al3 0.3083 0.6917 0.9470
Al4 0.5000 0.5000 0.0000
Al5 0.5000 0.5000 0.5000
Al6 0.6917 0.3083 0.0530
Al7 0.6917 0.3083 0.4470
Al8 0.9206 0.0794 0.7500
Ni1 0.2251 0.7749 0.2500
Ni2 0.7749 0.2251 0.7500

---

The following is a PBEsol calculation of a relaxed structure of Pr3AlNiS7, from Alexandria via LeMat-Bulk.

Calculated values
Calculated total energy in eV per atom: -6.2970
Theoretical density in g/cm3: 4.61
Size of the total moment in μB/cell: 4.081
Raw formation energy in eV per formula unit: -19.1

a = 10.0342 Å, b = 10.0342 Å, c = 6.0569 Å
α = 90.00°, β = 90.00°, γ = 120.00°
Positions (direct):
Pr1 0.1415 0.7693 0.0000
Pr2 0.2307 0.3723 0.0000
Pr3 0.3723 0.1415 0.5000
Pr4 0.6277 0.8585 0.0000
Pr5 0.7693 0.6277 0.5000
Pr6 0.8585 0.2307 0.5000
Al1 0.3333 0.6667 0.5767
Al2 0.6667 0.3333 0.0767
Ni1 0.0000 0.0000 0.2234
Ni2 0.0000 0.0000 0.7234
S1 0.0873 0.8610 0.4551
S2 0.0973 0.5180 0.7235
S3 0.1390 0.2262 0.4551
S4 0.2262 0.0873 0.9551
S5 0.3333 0.6667 0.2101
S6 0.4207 0.9027 0.7235
S7 0.4820 0.5793 0.7235
S8 0.5180 0.4207 0.2235
S9 0.5793 0.0973 0.2235
S10 0.6667 0.3333 0.7101
S11 0.7738 0.9127 0.4551
S12 0.8610 0.7738 0.9551
S13 0.9027 0.4820 0.2235
S14 0.9127 0.1390 0.9551

---

The following is a PBEsol calculation of a relaxed structure of AlNiPt, from Alexandria via LeMat-Bulk.

Calculated values
Formation enthalpy at 0 K in eV per formula unit: -1.9
Calculated total energy in eV per atom: -6.3734
Theoretical density in g/cm3: 12.04
Size of the total moment in μB/cell: 0.000

a = 2.7561 Å, b = 3.3150 Å, c = 8.4734 Å
α = 90.00°, β = 90.00°, γ = 90.00°
Positions (direct):
Al1 0.0000 0.0000 0.0000
Al2 0.5000 0.5000 0.5000
Ni1 0.0000 0.0000 0.6468
Ni2 0.5000 0.5000 0.1468
Pt1 0.0000 0.0000 0.3300
Pt2 0.5000 0.5000 0.8300

---

The following is a PBEsol calculation of a relaxed structure of AlNi2Pt, from Alexandria via LeMat-Bulk.

Calculated values
Formation enthalpy at 0 K in eV per formula unit: -1.9
Calculated total energy in eV per atom: -6.3269
Theoretical density in g/cm3: 11.52
Size of the total moment in μB/cell: 0.370

a = 2.7046 Å, b = 3.4189 Å, c = 5.2908 Å
α = 90.00°, β = 90.00°, γ = 90.00°
Positions (direct):
Al1 0.0000 0.0000 0.0000
Ni1 0.0000 0.0000 0.4616
Ni2 0.5000 0.5000 0.2422
Pt1 0.5000 0.5000 0.7343

---

The following is a PBEsol calculation of a relaxed structure of Al2NiPt, from Alexandria via LeMat-Bulk.

Calculated values
Formation enthalpy at 0 K in eV per formula unit: -3.1
Calculated total energy in eV per atom: -6.1004
Theoretical density in g/cm3: 9.60
Size of the total moment in μB/cell: 0.000

a = 8.8037 Å, b = 3.1246 Å, c = 4.0792 Å
α = 90.00°, β = 108.33°, γ = 90.00°
Positions (direct):
Al1 0.0000 0.0000 0.0000
Al2 0.2358 0.0000 0.6492
Al3 0.5000 0.5000 0.0000
Al4 0.7358 0.5000 0.6492
Ni1 0.2325 0.5000 0.1308
Ni2 0.7325 0.0000 0.1308
Pt1 0.4941 0.0000 0.4959
Pt2 0.9941 0.5000 0.4959

---

The following is a PBEsol calculation of a relaxed structure of Al2NiPt, from Alexandria via LeMat-Bulk.

Calculated values
Formation enthalpy at 0 K in eV per formula unit: -3.2
Calculated total energy in eV per atom: -6.1332
Theoretical density in g/cm3: 9.81
Size of the total moment in μB/cell: 0.000

a = 2.9715 Å, b = 2.9715 Å, c = 5.8972 Å
α = 90.00°, β = 90.00°, γ = 90.00°
Positions (direct):
Al1 0.0000 0.0000 0.2312
Al2 0.0000 0.0000 0.7688
Ni1 0.5000 0.5000 0.0000
Pt1 0.5000 0.5000 0.5000

---

The following is a PBEsol calculation of a relaxed structure of Al2NiPt, from Alexandria via LeMat-Bulk.

Calculated values
Formation enthalpy at 0 K in eV per formula unit: -3.1
Calculated total energy in eV per atom: -6.1083
Theoretical density in g/cm3: 9.73
Size of the total moment in μB/cell: 0.000

a = 3.6096 Å, b = 3.6096 Å, c = 8.0620 Å
α = 90.00°, β = 90.00°, γ = 90.00°
Positions (direct):
Al1 0.0000 0.0000 0.0000
Al2 0.0000 0.5000 0.2500
Al3 0.5000 0.0000 0.7500
Al4 0.5000 0.5000 0.5000
Ni1 0.0000 0.0000 0.5000
Ni2 0.5000 0.5000 0.0000
Pt1 0.0000 0.5000 0.7500
Pt2 0.5000 0.0000 0.2500

---

The following is a PBEsol calculation of a relaxed structure of AlNi6Pt, from Alexandria via LeMat-Bulk.

Calculated values
Formation enthalpy at 0 K in eV per formula unit: -2.0
Calculated total energy in eV per atom: -6.2471
Theoretical density in g/cm3: 10.59
Size of the total moment in μB/cell: 8.540

a = 6.1622 Å, b = 6.1622 Å, c = 10.0588 Å
α = 90.00°, β = 90.00°, γ = 109.50°
Positions (direct):
Al1 0.0000 0.0000 0.2470
Al2 0.0000 0.0000 0.7530
Al3 0.2498 0.7502 0.0000
Al4 0.7502 0.2498 0.0000
Ni1 0.0000 0.0000 0.0000
Ni2 0.0000 0.0000 0.5000
Ni3 0.1224 0.3740 0.1225
Ni4 0.1224 0.3740 0.8775
Ni5 0.1231 0.3711 0.3719
Ni6 0.1231 0.3711 0.6281
Ni7 0.2476 0.7524 0.2462
Ni8 0.2476 0.7524 0.7538
Ni9 0.3711 0.1231 0.3719
Ni10 0.3711 0.1231 0.6281
Ni11 0.3740 0.1224 0.1225
Ni12 0.3740 0.1224 0.8775
Ni13 0.5000 0.5000 0.0000
Ni14 0.5000 0.5000 0.5000
Ni15 0.6260 0.8776 0.1225
Ni16 0.6260 0.8776 0.8775
Ni17 0.6289 0.8769 0.3719
Ni18 0.6289 0.8769 0.6281
Ni19 0.7524 0.2476 0.2462
Ni20 0.7524 0.2476 0.7538
Ni21 0.8769 0.6289 0.3719
Ni22 0.8769 0.6289 0.6281
Ni23 0.8776 0.6260 0.1225
Ni24 0.8776 0.6260 0.8775
Pt1 0.2487 0.7513 0.5000
Pt2 0.5000 0.5000 0.2491
Pt3 0.5000 0.5000 0.7509
Pt4 0.7513 0.2487 0.5000

---

The following is a PBEsol calculation of a relaxed structure of AlNiPt, from Alexandria via LeMat-Bulk.

Calculated values
Formation enthalpy at 0 K in eV per formula unit: -1.9
Calculated total energy in eV per atom: -6.3773
Theoretical density in g/cm3: 12.16
Size of the total moment in μB/cell: 0.000

a = 2.8643 Å, b = 2.8643 Å, c = 9.3477 Å
α = 90.00°, β = 90.00°, γ = 90.00°
Positions (direct):
Al1 0.0000 0.0000 0.0000
Al2 0.5000 0.5000 0.5000
Ni1 0.0000 0.0000 0.3577
Ni2 0.5000 0.5000 0.8577
Pt1 0.0000 0.0000 0.6708
Pt2 0.5000 0.5000 0.1708

---

The following is a PBEsol calculation of a relaxed structure of AlNi2Pt, from Alexandria via LeMat-Bulk.

Calculated values
Formation enthalpy at 0 K in eV per formula unit: -2.0
Calculated total energy in eV per atom: -6.3454
Theoretical density in g/cm3: 11.49
Size of the total moment in μB/cell: 0.022

a = 3.6885 Å, b = 3.6885 Å, c = 7.2104 Å
α = 90.00°, β = 90.00°, γ = 90.00°
Positions (direct):
Al1 0.0000 0.0000 0.0000
Al2 0.5000 0.5000 0.5000
Ni1 0.0000 0.5000 0.2500
Ni2 0.0000 0.5000 0.7500
Ni3 0.5000 0.0000 0.2500
Ni4 0.5000 0.0000 0.7500
Pt1 0.0000 0.0000 0.5000
Pt2 0.5000 0.5000 0.0000

---

The following is a PBEsol calculation of a relaxed structure of AlNi2Pt, from Alexandria via LeMat-Bulk.

Calculated values
Formation enthalpy at 0 K in eV per formula unit: -2.2
Calculated total energy in eV per atom: -6.3877
Theoretical density in g/cm3: 11.52
Size of the total moment in μB/cell: 0.660

a = 3.7261 Å, b = 3.7261 Å, c = 7.0489 Å
α = 90.00°, β = 90.00°, γ = 90.00°
Positions (direct):
Al1 0.0000 0.0000 0.0000
Al2 0.5000 0.5000 0.5000
Ni1 0.0000 0.0000 0.5000
Ni2 0.0000 0.5000 0.7500
Ni3 0.5000 0.0000 0.2500
Ni4 0.5000 0.5000 0.0000
Pt1 0.0000 0.5000 0.2500
Pt2 0.5000 0.0000 0.7500

---

The following is a PBEsol calculation of a relaxed structure of ScAlNi2Pt, from Alexandria via LeMat-Bulk.

Calculated values
Formation enthalpy at 0 K in eV per formula unit: 2.9
Calculated total energy in eV per atom: -5.4064
Theoretical density in g/cm3: 7.59
Size of the total moment in μB/cell: 0.001

a = 4.1281 Å, b = 4.1281 Å, c = 4.9375 Å
α = 90.00°, β = 90.00°, γ = 90.00°
Positions (direct):
Sc1 0.0000 0.0000 0.0000
Al1 0.0000 0.0000 0.5000
Ni1 0.0000 0.5000 0.5000
Ni2 0.5000 0.0000 0.5000
Pt1 0.5000 0.5000 0.0000

---

The following is a PBEsol calculation of a relaxed structure of Al2NiTePt, from Alexandria via LeMat-Bulk.

Calculated values
Calculated total energy in eV per atom: -3.8349
Theoretical density in g/cm3: 6.27
Size of the total moment in μB/cell: 0.000
Raw formation energy in eV per formula unit: 5.7

a = 5.1091 Å, b = 5.1091 Å, c = 4.4183 Å
α = 90.00°, β = 90.00°, γ = 90.00°
Positions (direct):
Al1 0.0000 0.5000 0.0000
Al2 0.5000 0.0000 0.0000
Ni1 0.0000 0.0000 0.5000
Te1 0.0000 0.0000 0.0000
Pt1 0.5000 0.5000 0.5000

---

The following is a PBEsol calculation of a relaxed structure of RbAl3Ni, from Alexandria via LeMat-Bulk.

Calculated values
Formation enthalpy at 0 K in eV per formula unit: 11.6
Calculated total energy in eV per atom: -1.5714
Theoretical density in g/cm3: 2.20
Size of the total moment in μB/cell: 0.505
Relative energy among the computed polymorphs in meV per atom: 2242

a = 5.5351 Å, b = 5.5351 Å, c = 5.5351 Å
α = 90.00°, β = 90.00°, γ = 90.00°
Positions (direct):
Rb1 0.0000 0.0000 0.0000
Al1 0.0000 0.0000 0.5000
Al2 0.0000 0.5000 0.0000
Al3 0.5000 0.0000 0.0000
Ni1 0.5000 0.5000 0.5000

---

The following is a PBEsol calculation of a relaxed structure of RbAl3Ni, from Alexandria via LeMat-Bulk.

Calculated values
Formation enthalpy at 0 K in eV per formula unit: 0.4
Calculated total energy in eV per atom: -3.8138
Theoretical density in g/cm3: 3.66
Size of the total moment in μB/cell: 0.001
Relative energy among the computed polymorphs in meV per atom: 0

a = 4.6762 Å, b = 4.6762 Å, c = 4.6762 Å
α = 90.00°, β = 90.00°, γ = 90.00°
Positions (direct):
Rb1 0.0000 0.0000 0.0000
Al1 0.0000 0.5000 0.5000
Al2 0.5000 0.0000 0.5000
Al3 0.5000 0.5000 0.0000
Ni1 0.5000 0.5000 0.5000